## w
Below is a relaxed structure of TcAuCl, with properties calculated at the PBE level. Values from VASP.

Summary:
The value obtained for the density of states at the Fermi level is 2.314 states/eV per cell. As for the size of the total moment: 0.4063 μB per atom. As for the calculated volume: 18.89 A^3/atom.

Quantum ESPRESSO input file:
```
&SYSTEM
  ibrav = 0, nat = 3, ntyp = 3
/
ATOMIC_SPECIES
Au 196.97 Au.upf
Cl 35.45 Cl.upf
Tc 98.00 Tc.upf
CELL_PARAMETERS angstrom
7.840 0.008 -0.005
6.968 2.873 -0.005
0.872 -1.360 2.522
ATOMIC_POSITIONS crystal
Au 0.982 0.982 0.018
Cl 0.697 0.697 0.303
Tc 0.322 0.322 0.678
```

***

## x
Below is a relaxed structure of TcAuCl, with properties calculated at the PBE level. Values from VASP.

Summary:
The value obtained for the density of states at the Fermi level is 3.702 states/eV per cell. As for the size of the total moment: 0.0024 μB per atom. As for the calculated volume: 16.70 A^3/atom.

Quantum ESPRESSO input file:
```
&SYSTEM
  ibrav = 0, nat = 3, ntyp = 3
/
ATOMIC_SPECIES
Au 196.97 Au.upf
Cl 35.45 Cl.upf
Tc 98.00 Tc.upf
CELL_PARAMETERS angstrom
-0.119 0.778 -4.452
-2.128 -3.597 1.724
-2.346 1.548 0.333
ATOMIC_POSITIONS crystal
Au 0.000 0.000 0.000
Cl 0.333 0.667 0.500
Tc 0.667 0.333 0.500
```

***

## y
Below is a relaxed structure of TcAuCl, with properties calculated at the PBE level. Values from VASP.

Summary:
The value obtained for the density of states at the Fermi level is 3.441 states/eV per cell. As for the size of the total moment: 0.3387 μB per atom. As for the calculated volume: 19.63 A^3/atom.

Quantum ESPRESSO input file:
```
&SYSTEM
  ibrav = 0, nat = 3, ntyp = 3
/
ATOMIC_SPECIES
Au 196.97 Au.upf
Cl 35.45 Cl.upf
Tc 98.00 Tc.upf
CELL_PARAMETERS angstrom
4.367 0.000 0.000
2.184 3.782 0.000
2.184 1.261 3.566
ATOMIC_POSITIONS crystal
Au 0.000 0.000 0.000
Cl 0.500 0.500 0.500
Tc 0.750 0.750 0.750
```

***

## z
Below is a relaxed structure of TcAuCl, with properties calculated at the PBE level. Values from VASP.

Summary:
The value obtained for the density of states at the Fermi level is 2.434 states/eV per cell. As for the size of the total moment: 0.0000 μB per atom. As for the calculated volume: 18.92 A^3/atom.

Quantum ESPRESSO input file:
```
&SYSTEM
  ibrav = 0, nat = 3, ntyp = 3
/
ATOMIC_SPECIES
Au 196.97 Au.upf
Cl 35.45 Cl.upf
Tc 98.00 Tc.upf
CELL_PARAMETERS angstrom
6.829 -0.004 0.000
5.553 3.975 0.000
-6.191 -1.986 2.089
ATOMIC_POSITIONS crystal
Au 0.033 0.033 0.000
Cl 0.284 0.284 0.000
Tc 0.682 0.682 0.000
```

***

Q: Which of them is the least stable? A: y.